Ba2ZnIn at its PBEsol-relaxed geometry, computed with meta-GGA SCAN.

- magnetization (μB/cell) = 0.00
- formation energy (eV/atom) = -0.347

Cell and atoms, written as CIF:
```
data_Ba2ZnIn
_chemical_formula_sum 'Ba2 Zn1 In1'
_symmetry_space_group_name_H-M 'P 4/m m m'
_symmetry_Int_Tables_number 123
_symmetry_space_group_name_Hall '-P 4 2'
_cell_length_a 5.853
_cell_length_b 5.853
_cell_length_c 4.051
_cell_angle_alpha 90.00
_cell_angle_beta 90.00
_cell_angle_gamma 90.00
loop_
_atom_site_label
_atom_site_fract_x
_atom_site_fract_y
_atom_site_fract_z
Ba1 0.000 0.500 0.000
Zn1 0.000 0.000 0.500
In1 0.500 0.500 0.500
```